1.
BaCeBr2 | GGA-PBE | relaxed

```
data_BaCeBr2
_chemical_formula_sum 'Ba1 Ce1 Br2'
_space_group_name_H-M_alt 'P 1'
_space_group_IT_number 1
_cell_length_a 4.064
_cell_length_b 4.064
_cell_length_c 10.924
_cell_angle_alpha 79.28
_cell_angle_beta 79.28
_cell_angle_gamma 60.00
loop_
_space_group_symop_operation_xyz
'x,y,z'
loop_
_atom_site_label
_atom_site_fract_x
_atom_site_fract_y
_atom_site_fract_z
Ce1 0.500 0.500 0.500
Br1 0.104 0.104 0.688
Br2 0.896 0.896 0.312
Ba1 0.000 0.000 0.000
```

Results
Raw formation energy   -113.3 kJ per mole of atoms



2.
CePaSiTc | GGA-PBE | relaxed

```
data_CePaSiTc
_chemical_formula_sum 'Ce1 Pa1 Si1 Tc1'
_space_group_name_H-M_alt 'P 1'
_space_group_IT_number 1
_cell_length_a 4.790
_cell_length_b 4.790
_cell_length_c 4.790
_cell_angle_alpha 60.00
_cell_angle_beta 60.00
_cell_angle_gamma 60.00
loop_
_space_group_symop_operation_xyz
'x,y,z'
loop_
_atom_site_label
_atom_site_fract_x
_atom_site_fract_y
_atom_site_fract_z
Pa1 0.250 0.250 0.250
Ce1 0.500 0.500 0.500
Si1 0.750 0.750 0.750
Tc1 0.000 0.000 0.000
```

Results
Raw formation energy   -12.7 kJ per mole of atoms



Number 1: total magnetic moment 0.4993 μB per atom. Number 2: total magnetic moment 0.2453 μB per atom.